1.
Compound: Pr2Cu3Ge4Ru
Source: Alexandria
Functional: PBE-GGA
Structure: optimized geometry

Properties
**Uncorrected energy**: -5.453 eV/atom
**V**: 181.6 Å³/cell
**E_form**: -494 meV per atom
**DOS at the Fermi energy**: 6.77 states/eV/f.u.

a = 4.1771 Å, b = 4.1771 Å, c = 10.4100 Å
α = 90.00°, β = 90.00°, γ = 90.00°
Fractional positions:
Ge: 0.5000 0.5000 0.0000
Ge: 0.0000 0.5000 0.3682
Ge: 0.5000 0.0000 0.6318
Ge: 0.0000 0.0000 0.0000
Pr: 0.0000 0.5000 0.7514
Pr: 0.5000 0.0000 0.2486
Cu: 0.5000 0.0000 0.8676
Cu: 0.0000 0.0000 0.5000
Cu: 0.0000 0.5000 0.1324
Ru: 0.5000 0.5000 0.5000


2.
Compound: SmHo2Lu
Source: Alexandria
Functional: PBE-GGA
Structure: optimized geometry

Properties
**Excess energy over the best structure of this formula in the dataset**: 0.0 meV/atom
**Uncorrected energy**: -4.574 eV/atom
**V**: 124.7 Å³/cell
**E_form**: 25 meV per atom
**DOS at the Fermi energy**: 5.90 states/eV/f.u.

a = 5.0102 Å, b = 4.9883 Å, c = 4.9883 Å
α = 90.00°, β = 90.00°, γ = 90.00°
Fractional positions:
Sm: 0.5000 0.0000 0.0000
Lu: 0.5000 0.5000 0.5000
Ho: 0.0000 0.5000 0.0000
Ho: 0.0000 0.0000 0.5000


3.
Compound: HfHg4As2Cl6
Source: Alexandria
Functional: PBE-GGA
Structure: optimized geometry

Properties
**Uncorrected energy**: -3.352 eV/atom
**V**: 3253.2 Å³/cell

a = 13.8341 Å, b = 13.8151 Å, c = 17.0216 Å
α = 90.00°, β = 90.00°, γ = 90.00°
Fractional positions:
As: 0.1022 0.6651 0.6311
As: 0.6022 0.6651 0.8689
As: 0.5600 0.1983 0.3720
As: 0.1022 0.8349 0.1311
As: 0.8978 0.1651 0.8689
As: 0.0600 0.1983 0.1280
As: 0.4400 0.6983 0.1280
As: 0.4400 0.8017 0.6280
As: 0.5600 0.3017 0.8720
As: 0.3978 0.1651 0.6311
As: 0.8978 0.3349 0.3689
As: 0.9400 0.6983 0.3720
As: 0.9400 0.8017 0.8720
As: 0.6022 0.8349 0.3689
As: 0.3978 0.3349 0.1311
As: 0.0600 0.3017 0.6280
Hg: 0.5330 0.7316 0.7424
Hg: 0.0889 0.4823 0.6432
Hg: 0.5222 0.7202 0.9959
Hg: 0.7747 0.7240 0.8755
Hg: 0.5222 0.7798 0.4959
Hg: 0.7253 0.2240 0.8755
Hg: 0.9778 0.2798 0.4959
Hg: 0.5889 0.4823 0.8568
Hg: 0.9111 0.9823 0.8568
Hg: 0.0222 0.7798 0.0041
Hg: 0.4778 0.2202 0.5041
Hg: 0.2747 0.7760 0.1245
Hg: 0.4670 0.2316 0.7576
Hg: 0.4670 0.2684 0.2576
Hg: 0.2253 0.2240 0.6245
Hg: 0.0222 0.7202 0.5041
Hg: 0.0330 0.7684 0.2576
Hg: 0.2253 0.2760 0.1245
Hg: 0.0889 0.0177 0.1432
Hg: 0.9778 0.2202 0.9959
Hg: 0.5889 0.0177 0.3568
Hg: 0.9670 0.2316 0.7424
Hg: 0.4111 0.9823 0.6432
Hg: 0.7253 0.2760 0.3755
Hg: 0.2747 0.7240 0.6245
Hg: 0.9670 0.2684 0.2424
Hg: 0.9111 0.5177 0.3568
Hg: 0.7747 0.7760 0.3755
Hg: 0.5330 0.7684 0.2424
Hg: 0.4778 0.2798 0.0041
Hg: 0.4111 0.5177 0.1432
Hg: 0.0330 0.7316 0.7576
Cl: 0.1358 0.0058 0.9401
Cl: 0.1462 0.8953 0.5020
Cl: 0.1582 0.1402 0.4522
Cl: 0.3418 0.8598 0.9522
Cl: 0.7437 0.9276 0.7340
Cl: 0.7643 0.1675 0.6801
Cl: 0.4662 0.0176 0.8279
Cl: 0.6462 0.8953 0.9980
Cl: 0.3538 0.3953 0.5020
Cl: 0.9662 0.4824 0.1721
Cl: 0.8418 0.8598 0.5478
Cl: 0.7357 0.6675 0.6801
Cl: 0.2437 0.9276 0.7660
Cl: 0.6462 0.6047 0.4980
Cl: 0.6358 0.4942 0.0599
Cl: 0.9662 0.0176 0.6721
Cl: 0.3641 0.5058 0.9401
Cl: 0.8538 0.1047 0.4980
Cl: 0.2643 0.1675 0.8199
Cl: 0.2357 0.6675 0.8199
Cl: 0.7643 0.3325 0.1801
Cl: 0.1358 0.4942 0.4401
Cl: 0.6358 0.0058 0.5599
Cl: 0.7563 0.0724 0.2340
Cl: 0.8418 0.6402 0.0478
Cl: 0.2437 0.5724 0.2660
Cl: 0.6582 0.3598 0.5478
Cl: 0.7563 0.4276 0.7340
Cl: 0.3418 0.6402 0.4522
Cl: 0.6582 0.1402 0.0478
Cl: 0.8642 0.5058 0.5599
Cl: 0.7437 0.5724 0.2340
Cl: 0.0338 0.5176 0.8279
Cl: 0.5338 0.9824 0.1721
Cl: 0.8538 0.3953 0.9980
Cl: 0.2357 0.8325 0.3199
Cl: 0.8642 0.9942 0.0599
Cl: 0.0338 0.9824 0.3279
Cl: 0.4662 0.4824 0.3279
Cl: 0.2563 0.0724 0.2660
Cl: 0.3538 0.1047 0.0020
Cl: 0.2643 0.3325 0.3199
Cl: 0.5338 0.5176 0.6721
Cl: 0.1462 0.6047 0.0020
Cl: 0.7357 0.8325 0.1801
Cl: 0.1582 0.3598 0.9522
Cl: 0.3641 0.9942 0.4401
Cl: 0.2563 0.4276 0.7660
Hf: 0.6989 0.5119 0.6157
Hf: 0.1989 0.9881 0.3843
Hf: 0.3011 0.0119 0.8843
Hf: 0.8011 0.4881 0.1157
Hf: 0.8011 0.0119 0.6157
Hf: 0.1989 0.5119 0.8843
Hf: 0.6989 0.9881 0.1157
Hf: 0.3011 0.4881 0.3843